# NaPr2Sn | Alexandria | PBE | optimized geometry
data_NaPr2Sn
_chemical_formula_sum 'Na1 Pr2 Sn1'
_space_group_name_H-M_alt 'P 4/m m m'
_space_group_IT_number 123
_space_group_name_Hall '-P 4 2'
_cell_length_a 3.599
_cell_length_b 3.599
_cell_length_c 10.343
_cell_angle_alpha 90.00
_cell_angle_beta 90.00
_cell_angle_gamma 90.00
loop_
_atom_site_label
_atom_site_fract_x
_atom_site_fract_y
_atom_site_fract_z
Na1 0.000 0.000 0.000
Pr1 0.500 0.500 0.293
Sn1 0.000 0.000 0.500
# Calculated formation energy = -0.23 eV/atom
# Raw total energy = -3.95 eV/atom